# 1
Material: TlZn2Tc
Method: DFT, PBE
State: relaxed

Cell lengths 3.106, 3.473, 6.491 Å; angles 90.00, 90.00, 90.00 degrees
Element x y z (fractional)
Tl (0.000, 0.000, 0.000)
Zn (0.000, 0.000, 0.519)
Zn (0.500, 0.500, 0.307)
Tc (0.500, 0.500, 0.714)

# 2
Material: TlZn2Tc
Method: DFT, PBE
State: relaxed

Cell lengths 4.868, 3.052, 4.953 Å; angles 90.00, 110.80, 90.00 degrees
Element x y z (fractional)
Tl (0.000, 0.000, 0.000)
Zn (0.000, 0.500, 0.500)
Zn (0.500, 0.000, 0.500)
Tc (0.500, 0.500, 0.000)

Across the entries above, energy of formation takes the values 403 401 meV/atom, respectively.
Across the entries above, offset from the most stable computed form takes the values 94 92 meV/atom, respectively.